Record 1
VASP calculation (PBE-GGA) on crystalline ErGaH at its relaxed geometry.

```
data_ErGaH
_cell_length_a 5.8260
_cell_length_b 5.8260
_cell_length_c 4.0530
_cell_angle_alpha 90.00
_cell_angle_beta 90.00
_cell_angle_gamma 136.33
_symmetry_space_group_name_H-M 'P 1'
_symmetry_Int_Tables_number 1
loop_
_symmetry_equiv_pos_as_xyz
'x,y,z'
loop_
_atom_site_label
_atom_site_type_symbol
_atom_site_fract_x
_atom_site_fract_y
_atom_site_fract_z
Er1 Er 0.1372 0.8628 0.7500
Er2 Er 0.8628 0.1372 0.2500
Ga1 Ga 0.4207 0.5793 0.7500
Ga2 Ga 0.5793 0.4207 0.2500
H1 H 0.0637 0.9363 0.2500
H2 H 0.9363 0.0637 0.7500
```

Results
As for the symmetry: No. 63. As for the crystal system: orthorhombic. The polymorph energy (0 for the lowest one) is 0.00 eV per formula unit.

Record 2
VASP calculation (PBE-GGA) on crystalline TlW3Br7 at its relaxed geometry.

```
data_TlW3Br7
_cell_length_a 14.0700
_cell_length_b 14.3541
_cell_length_c 14.3728
_cell_angle_alpha 90.00
_cell_angle_beta 90.00
_cell_angle_gamma 90.00
_symmetry_space_group_name_H-M 'P 1'
_symmetry_Int_Tables_number 1
loop_
_symmetry_equiv_pos_as_xyz
'x,y,z'
loop_
_atom_site_label
_atom_site_type_symbol
_atom_site_fract_x
_atom_site_fract_y
_atom_site_fract_z
Tl1 Tl 0.0000 0.0000 0.0000
Tl2 Tl 0.0000 0.5000 0.5000
Tl3 Tl 0.2500 0.2500 0.2500
Tl4 Tl 0.2500 0.7500 0.2500
Tl5 Tl 0.5000 0.0000 0.5000
Tl6 Tl 0.5000 0.5000 0.0000
Tl7 Tl 0.7500 0.2500 0.7500
Tl8 Tl 0.7500 0.7500 0.7500
W1 W 0.0295 0.0425 0.3797
W2 W 0.0295 0.4575 0.1203
W3 W 0.0400 0.6203 0.0333
W4 W 0.0400 0.8797 0.4667
W5 W 0.1237 0.0285 0.5395
W6 W 0.1237 0.4715 0.9605
W7 W 0.3763 0.0285 0.9605
W8 W 0.3763 0.4715 0.5395
W9 W 0.4600 0.6203 0.4667
W10 W 0.4600 0.8797 0.0333
W11 W 0.4705 0.0425 0.1203
W12 W 0.4705 0.4575 0.3797
W13 W 0.5295 0.5425 0.6203
W14 W 0.5295 0.9575 0.8797
W15 W 0.5400 0.1203 0.9667
W16 W 0.5400 0.3797 0.5333
W17 W 0.6237 0.5285 0.4605
W18 W 0.6237 0.9715 0.0395
W19 W 0.8763 0.5285 0.0395
W20 W 0.8763 0.9715 0.4605
W21 W 0.9600 0.1203 0.5333
W22 W 0.9600 0.3797 0.9667
W23 W 0.9705 0.5425 0.8797
W24 W 0.9705 0.9575 0.6203
Br1 Br 0.0545 0.1063 0.6921
Br2 Br 0.0545 0.3937 0.8079
Br3 Br 0.0730 0.0997 0.2097
Br4 Br 0.0730 0.4003 0.2903
Br5 Br 0.0941 0.7094 0.4197
Br6 Br 0.0941 0.7906 0.0803
Br7 Br 0.1133 0.1920 0.4536
Br8 Br 0.1133 0.3080 0.0464
Br9 Br 0.1337 0.6346 0.8734
Br10 Br 0.1337 0.8654 0.6266
Br11 Br 0.1933 0.5483 0.1147
Br12 Br 0.1933 0.9517 0.3853
Br13 Br 0.2039 0.0696 0.9077
Br14 Br 0.2039 0.4304 0.5923
Br15 Br 0.2961 0.0696 0.5923
Br16 Br 0.2961 0.4304 0.9077
Br17 Br 0.3067 0.5483 0.3853
Br18 Br 0.3067 0.9517 0.1147
Br19 Br 0.3663 0.6346 0.6266
Br20 Br 0.3663 0.8654 0.8734
Br21 Br 0.3867 0.1920 0.0464
Br22 Br 0.3867 0.3080 0.4536
Br23 Br 0.4059 0.7094 0.0803
Br24 Br 0.4059 0.7906 0.4197
Br25 Br 0.4270 0.0997 0.2903
Br26 Br 0.4270 0.4003 0.2097
Br27 Br 0.4455 0.1063 0.8079
Br28 Br 0.4455 0.3937 0.6921
Br29 Br 0.5545 0.6063 0.3079
Br30 Br 0.5545 0.8937 0.1921
Br31 Br 0.5730 0.5997 0.7903
Br32 Br 0.5730 0.9003 0.7097
Br33 Br 0.5941 0.2094 0.5803
Br34 Br 0.5941 0.2906 0.9197
Br35 Br 0.6133 0.6920 0.5464
Br36 Br 0.6133 0.8080 0.9536
Br37 Br 0.6337 0.1346 0.1266
Br38 Br 0.6337 0.3654 0.3734
Br39 Br 0.6933 0.0483 0.8853
Br40 Br 0.6933 0.4517 0.6147
Br41 Br 0.7039 0.5696 0.0923
Br42 Br 0.7039 0.9304 0.4077
Br43 Br 0.7961 0.5696 0.4077
Br44 Br 0.7961 0.9304 0.0923
Br45 Br 0.8067 0.0483 0.6147
Br46 Br 0.8067 0.4517 0.8853
Br47 Br 0.8663 0.1346 0.3734
Br48 Br 0.8663 0.3654 0.1266
Br49 Br 0.8867 0.6920 0.9536
Br50 Br 0.8867 0.8080 0.5464
Br51 Br 0.9059 0.2094 0.9197
Br52 Br 0.9059 0.2906 0.5803
Br53 Br 0.9270 0.5997 0.7097
Br54 Br 0.9270 0.9003 0.7903
Br55 Br 0.9455 0.6063 0.1921
Br56 Br 0.9455 0.8937 0.3079
```

Results
The value obtained for the energy relative to the elements, uncorrected is -0.54 eV/atom. As for the symmetry: No. 48. As for the crystal system: orthorhombic.

Record 3
VASP calculation (PBE-GGA) on crystalline SrCaSbTe2 at its relaxed geometry.

```
data_SrCaSbTe2
_cell_length_a 5.8546
_cell_length_b 5.8546
_cell_length_c 5.6932
_cell_angle_alpha 90.00
_cell_angle_beta 90.00
_cell_angle_gamma 90.00
_symmetry_space_group_name_H-M 'P 1'
_symmetry_Int_Tables_number 1
loop_
_symmetry_equiv_pos_as_xyz
'x,y,z'
loop_
_atom_site_label
_atom_site_type_symbol
_atom_site_fract_x
_atom_site_fract_y
_atom_site_fract_z
Sr1 Sr 0.0000 0.0000 0.0000
Ca1 Ca 0.5000 0.5000 0.5000
Sb1 Sb 0.5000 0.5000 0.0000
Te1 Te 0.0000 0.5000 0.5000
Te2 Te 0.5000 0.0000 0.5000
```

Results
The value obtained for the energy relative to the elements, uncorrected is -0.51 eV/atom. As for the symmetry: No. 123. As for the crystal system: tetragonal. The polymorph energy (0 for the lowest one) is 0.00 eV per formula unit.

Record 4
VASP calculation (PBE-GGA) on crystalline In3Ga5Sn12 at its relaxed geometry.

```
data_In3Ga5Sn12
_cell_length_a 14.6268
_cell_length_b 14.6268
_cell_length_c 14.6268
_cell_angle_alpha 109.47
_cell_angle_beta 109.47
_cell_angle_gamma 109.47
_symmetry_space_group_name_H-M 'P 1'
_symmetry_Int_Tables_number 1
loop_
_symmetry_equiv_pos_as_xyz
'x,y,z'
loop_
_atom_site_label
_atom_site_type_symbol
_atom_site_fract_x
_atom_site_fract_y
_atom_site_fract_z
In1 In 0.1250 0.2500 0.3750
In2 In 0.1250 0.3750 0.7500
In3 In 0.2500 0.3750 0.1250
In4 In 0.2500 0.8750 0.6250
In5 In 0.3750 0.1250 0.2500
In6 In 0.3750 0.7500 0.1250
In7 In 0.6250 0.2500 0.8750
In8 In 0.6250 0.8750 0.7500
In9 In 0.7500 0.1250 0.3750
In10 In 0.7500 0.6250 0.8750
In11 In 0.8750 0.6250 0.2500
In12 In 0.8750 0.7500 0.6250
Ga1 Ga 0.0000 0.0000 0.0000
Ga2 Ga 0.0000 0.0000 0.5000
Ga3 Ga 0.0000 0.5000 0.0000
Ga4 Ga 0.0000 0.5000 0.5000
Ga5 Ga 0.1250 0.7500 0.8750
Ga6 Ga 0.1250 0.8750 0.2500
Ga7 Ga 0.2500 0.1250 0.8750
Ga8 Ga 0.2500 0.6250 0.3750
Ga9 Ga 0.3750 0.2500 0.6250
Ga10 Ga 0.3750 0.6250 0.7500
Ga11 Ga 0.5000 0.0000 0.0000
Ga12 Ga 0.5000 0.0000 0.5000
Ga13 Ga 0.5000 0.5000 0.0000
Ga14 Ga 0.5000 0.5000 0.5000
Ga15 Ga 0.6250 0.3750 0.2500
Ga16 Ga 0.6250 0.7500 0.3750
Ga17 Ga 0.7500 0.3750 0.6250
Ga18 Ga 0.7500 0.8750 0.1250
Ga19 Ga 0.8750 0.1250 0.7500
Ga20 Ga 0.8750 0.2500 0.1250
Sn1 Sn 0.0535 0.2251 0.1277
Sn2 Sn 0.0535 0.3284 0.9259
Sn3 Sn 0.0741 0.6277 0.4025
Sn4 Sn 0.0741 0.9465 0.6716
Sn5 Sn 0.0975 0.7251 0.6716
Sn6 Sn 0.0975 0.8723 0.4259
Sn7 Sn 0.1277 0.0535 0.2251
Sn8 Sn 0.1277 0.5741 0.9025
Sn9 Sn 0.1716 0.2251 0.5975
Sn10 Sn 0.1716 0.4465 0.5741
Sn11 Sn 0.2251 0.1277 0.0535
Sn12 Sn 0.2251 0.5975 0.1716
Sn13 Sn 0.2749 0.3284 0.9025
Sn14 Sn 0.2749 0.4465 0.3723
Sn15 Sn 0.3284 0.9025 0.2749
Sn16 Sn 0.3284 0.9259 0.0535
Sn17 Sn 0.3723 0.2749 0.4465
Sn18 Sn 0.3723 0.5975 0.9259
Sn19 Sn 0.4025 0.0741 0.6277
Sn20 Sn 0.4025 0.8284 0.7749
Sn21 Sn 0.4259 0.0975 0.8723
Sn22 Sn 0.4259 0.8284 0.5535
Sn23 Sn 0.4465 0.3723 0.2749
Sn24 Sn 0.4465 0.5741 0.1716
Sn25 Sn 0.5535 0.4259 0.8284
Sn26 Sn 0.5535 0.6277 0.7251
Sn27 Sn 0.5741 0.1716 0.4465
Sn28 Sn 0.5741 0.9025 0.1277
Sn29 Sn 0.5975 0.1716 0.2251
Sn30 Sn 0.5975 0.9259 0.3723
Sn31 Sn 0.6277 0.4025 0.0741
Sn32 Sn 0.6277 0.7251 0.5535
Sn33 Sn 0.6716 0.0741 0.9465
Sn34 Sn 0.6716 0.0975 0.7251
Sn35 Sn 0.7251 0.5535 0.6277
Sn36 Sn 0.7251 0.6716 0.0975
Sn37 Sn 0.7749 0.4025 0.8284
Sn38 Sn 0.7749 0.8723 0.9465
Sn39 Sn 0.8284 0.5535 0.4259
Sn40 Sn 0.8284 0.7749 0.4025
Sn41 Sn 0.8723 0.4259 0.0975
Sn42 Sn 0.8723 0.9465 0.7749
Sn43 Sn 0.9025 0.1277 0.5741
Sn44 Sn 0.9025 0.2749 0.3284
Sn45 Sn 0.9259 0.0535 0.3284
Sn46 Sn 0.9259 0.3723 0.5975
Sn47 Sn 0.9465 0.6716 0.0741
Sn48 Sn 0.9465 0.7749 0.8723
```

Results
The calculation puts the calculated formation energy at 3.4 eV per formula unit. As for the symmetry: No. 230. As for the crystal system: cubic.

| no. | density of states at the Fermi level (states/eV/atom) |
| --- | --- |
| 1 | 0.350 |
| 2 | 0.000 |
| 3 | 0.984 |
| 4 | 0.593 |